Record 1
The following is a DFT calculation (PBE-GGA) of a relaxed structure of MnNi14W.

* space group: No. 123
* calculated volume: 180.5 Å³/f.u.
* ΔH_f (0 K): -32 meV per atom
* total DFT energy (no corrections): -6.4736 eV/atom

Unit cell a=5.0539 b=5.0539 c=7.0669 alpha=90.00 beta=90.00 gamma=90.00
Element x y z (fractional)
Ni: 0.1253 0.1253 0.7531
Ni: 0.6247 0.1253 0.2469
Ni: 0.1253 0.6247 0.7531
Ni: 0.3750 0.8750 0.5000
Ni: 0.8750 0.3750 0.0000
Ni: 0.1253 0.6247 0.2469
Ni: 0.8750 0.3750 0.5000
Ni: 0.6247 0.1253 0.7531
W: 0.8750 0.8750 0.5000
Ni: 0.6247 0.6247 0.7531
Ni: 0.8750 0.8750 0.0000
Ni: 0.3750 0.3750 0.0000
Ni: 0.3750 0.8750 0.0000
Ni: 0.1253 0.1253 0.2469
Ni: 0.6247 0.6247 0.2469
Mn: 0.3750 0.3750 0.5000



Record 2
The following is a DFT calculation (PBE-GGA) of a relaxed structure of Mn2NiW.

* space group: No. 225
* calculated volume: 50.8 Å³/f.u.
* ΔH_f (0 K): 71 meV per atom
* total DFT energy (no corrections): -9.1977 eV/atom

Unit cell a=4.1580 b=4.1580 c=4.1580 alpha=60.00 beta=60.00 gamma=60.00
Element x y z (fractional)
Mn: 0.2500 0.2500 0.2500
Mn: 0.7500 0.7500 0.7500
Ni: 0.0000 0.0000 0.0000
W: 0.5000 0.5000 0.5000



Q: Which value of calculated volume does entry 1 give?
A: 180.5 Å³/f.u.